Computed, not measured: Mg2TcPt after structural relaxation at the GGA-PBE level of DFT.

Total energy, Ry/atom: -0.3697
E_form, eV per atom: -0.131
Polymorph energy (0 for the lowest one), eV/atom: 0.099

Cell lengths 9.188, 9.188, 9.188 Å; angles 18.00, 18.00, 18.00 degrees
Atoms (fractional coordinates):
Mg 0.248 0.248 0.248
Mg 0.752 0.752 0.752
Tc 0.000 0.000 0.000
Pt 0.500 0.500 0.500